Crystalline LaHoTlSn at its relaxed geometry, computed with PBE.

Results
Size of the total moment, μB per atom: 0.000
ΔH_f (0 K), eV per atom: -0.501
SG: No. 216

Lattice parameters (Å, degrees): 5.4771 5.4771 5.4771 60.00 60.00 60.00
Sites, in units of the cell vectors:
Tl 0.7500 0.7500 0.7500
Ho 0.0000 0.0000 0.0000
Sn 0.2500 0.2500 0.2500
La 0.5000 0.5000 0.5000